This record from OQMD via LeMat-Bulk describes a relaxed TaC crystal. The functional is PBE.

```
data_TaC
_chemical_formula_sum 'Ta1 C1'
_cell_length_a 3.052
_cell_length_b 3.052
_cell_length_c 2.882
_cell_angle_alpha 90.00
_cell_angle_beta 90.00
_cell_angle_gamma 120.00
_space_group_name_H-M_alt 'P 1'
_space_group_IT_number 1
loop_
_space_group_symop_operation_xyz
'x,y,z'
loop_
_atom_site_label
_atom_site_fract_x
_atom_site_fract_y
_atom_site_fract_z
Ta1 0.333 0.667 0.250
C1 0.667 0.333 0.750
```

=====

This record from OQMD via LeMat-Bulk describes a relaxed TaC2 crystal. The functional is PBE.

```
data_TaC2
_chemical_formula_sum 'Ta2 C4'
_cell_length_a 4.382
_cell_length_b 4.382
_cell_length_c 4.382
_cell_angle_alpha 60.00
_cell_angle_beta 60.00
_cell_angle_gamma 60.00
_space_group_name_H-M_alt 'P 1'
_space_group_IT_number 1
loop_
_space_group_symop_operation_xyz
'x,y,z'
loop_
_atom_site_label
_atom_site_fract_x
_atom_site_fract_y
_atom_site_fract_z
C1 0.625 0.625 0.125
Ta1 0.250 0.250 0.250
C2 0.625 0.125 0.625
C3 0.125 0.625 0.625
C4 0.625 0.625 0.625
Ta2 0.000 0.000 0.000
```

=====

Quick rundown of theoretical density, same order as above: 13.79 11.44 g/cm3
Quick rundown of total magnetization, same order as above: 0.01 0.00 μB/atom
Quick rundown of energy relative to the lowest polymorph listed for this composition, same order as above: 411 324 meV per atom